Record 1
Below is a relaxed LaInGe2 crystal, with properties calculated at the PBE level.

Unit cell a=4.7479 b=4.7479 c=5.7844 alpha=65.77 beta=65.77 gamma=60.00
Last column: nearest neighbours and their distance in Å.
Fractional positions:
Ge  0.7192  0.7192  0.8425  3 In 2.86, 3 Ge 3.18
Ge  0.2808  0.2808  0.1575  3 In 2.86, 3 Ge 3.18
La  0.5000  0.5000  0.5000  8 Ge 3.25-3.35
In  0.0000  0.0000  0.0000  6 Ge 2.86

Output
SG ... R-3m, No. 166
ΔH_f (0 K) ... -0.335 eV/atom
Electronic total energy ... -4.560 eV per atom


Record 2
Below is a relaxed LaInGe crystal, with properties calculated at the PBE level.

Unit cell a=4.4778 b=6.0824 c=12.2935 alpha=90.00 beta=90.00 gamma=90.00
Last column: nearest neighbours and their distance in Å.
Fractional positions:
In  0.7500  0.7505  0.3045  2 Ge 2.74
In  0.2500  0.2495  0.6955  2 Ge 2.74
In  0.7500  0.2505  0.1955  2 Ge 2.74
In  0.2500  0.7495  0.8045  2 Ge 2.74
La  0.7500  0.2500  0.9000  4 Ge 3.04-3.07, 2 In 3.37
La  0.7500  0.7500  0.6000  4 Ge 3.04-3.07, 2 In 3.37
La  0.2500  0.2500  0.4000  4 Ge 3.04-3.07, 2 In 3.37
La  0.2500  0.7500  0.1000  4 Ge 3.04-3.07, 2 In 3.37
Ge  0.7500  0.2500  0.5673  2 In 2.74, 2 La 3.04
Ge  0.2500  0.2500  0.0673  2 In 2.74, 2 La 3.04
Ge  0.7500  0.7500  0.9327  2 In 2.74, 2 La 3.04
Ge  0.2500  0.7500  0.4327  2 In 2.74, 2 La 3.04

Output
SG ... Cmcm, No. 63
ΔH_f (0 K) ... -0.609 eV/atom
Electronic total energy ... -4.703 eV per atom